Record 1
Below is a relaxed AgPt2Pb crystal, with properties calculated at the PBE-GGA level.

a b c (Å): 7.5105 7.5105 5.6636
angles (deg): 90.00 90.00 90.00
Space group I-42d (No. 122)
Inequivalent atoms, fractional coordinates:
Ag1 0.0000 0.0000 0.0000 [4 per cell]
Pt1 0.2503 0.2500 0.1250 [8 per cell]
Pb1 0.0000 0.0000 0.5000 [4 per cell]

Computed properties:
- formation energy from the elements (eV/atom) = 0.156
- total DFT energy (no corrections) (eV/cell) = -72.1


Record 2
Below is a relaxed AgPt2Pb crystal, with properties calculated at the PBE-GGA level.

a b c (Å): 6.6751 6.6751 6.6751
angles (deg): 90.00 90.00 90.00
Space group F-43m (No. 216)
Inequivalent atoms, fractional coordinates:
Ag1 0.0000 0.0000 0.0000 [4 per cell]
Pt1 0.0000 0.0000 0.5000 [4 per cell]
Pt2 0.2500 0.2500 0.7500 [4 per cell]
Pb1 0.2500 0.2500 0.2500 [4 per cell]

Computed properties:
- formation energy from the elements (eV/atom) = 0.076
- total DFT energy (no corrections) (eV/cell) = -73.3


Record 3
Below is a relaxed AgPtPb crystal, with properties calculated at the PBE-GGA level.

a b c (Å): 10.2040 3.6387 7.6135
angles (deg): 90.00 117.15 90.00
Space group C2/m (No. 12)
Inequivalent atoms, fractional coordinates:
Ag1 0.1602 0.0000 0.0492 [4 per cell]
Pt1 0.1416 0.0000 0.6643 [4 per cell]
Pb1 0.0757 0.5000 0.3255 [4 per cell]

Computed properties:
- formation energy from the elements (eV/atom) = -0.027
- total DFT energy (no corrections) (eV/cell) = -50.7
- energy relative to the lowest polymorph listed for this composition (eV per atom) = 0.005


Record 4
Below is a relaxed AgPt2Pb2 crystal, with properties calculated at the PBE-GGA level.

a b c (Å): 4.6030 4.6030 11.5604
angles (deg): 90.00 90.00 90.00
Space group I4/mmm (No. 139)
Inequivalent atoms, fractional coordinates:
Ag1 0.0000 0.0000 0.0000 [2 per cell]
Pt1 0.0000 0.0000 0.3890 [4 per cell]
Pb1 0.0000 0.5000 0.2500 [4 per cell]

Computed properties:
- formation energy from the elements (eV/atom) = 0.200
- total DFT energy (no corrections) (eV/cell) = -42.7
- energy relative to the lowest polymorph listed for this composition (eV per atom) = 0.254


Record 5
Below is a relaxed AgPt2Pb crystal, with properties calculated at the PBE-GGA level.

a b c (Å): 3.0412 4.0867 6.0450
angles (deg): 90.00 90.00 90.00
Space group Pmm2 (No. 25)
Inequivalent atoms, fractional coordinates:
Ag1 0.0000 0.0000 0.0000 [1 per cell]
Pt1 0.0000 0.0000 0.5405 [1 per cell]
Pt2 0.5000 0.5000 0.7815 [1 per cell]
Pb1 0.5000 0.5000 0.2960 [1 per cell]

Computed properties:
- formation energy from the elements (eV/atom) = 0.080
- total DFT energy (no corrections) (eV/cell) = -18.3


Record 6
Below is a relaxed AgPtPb crystal, with properties calculated at the PBE-GGA level.

a b c (Å): 6.4921 6.4921 6.4921
angles (deg): 90.00 90.00 90.00
Space group F-43m (No. 216)
Inequivalent atoms, fractional coordinates:
Ag1 0.0000 0.0000 0.0000 [4 per cell]
Pt1 0.2500 0.2500 0.7500 [4 per cell]
Pb1 0.0000 0.0000 0.5000 [4 per cell]

Computed properties:
- formation energy from the elements (eV/atom) = -0.032
- total DFT energy (no corrections) (eV/cell) = -50.8
- energy relative to the lowest polymorph listed for this composition (eV per atom) = 0.000


Record 7
Below is a relaxed AgPt2Pb crystal, with properties calculated at the PBE-GGA level.

a b c (Å): 5.8735 6.9166 3.6437
angles (deg): 90.00 90.00 90.00
Space group Cmmm (No. 65)
Inequivalent atoms, fractional coordinates:
Ag1 0.0000 0.0000 0.0000 [2 per cell]
Pt1 0.2500 0.2500 0.5000 [4 per cell]
Pb1 0.0000 0.5000 0.0000 [2 per cell]

Computed properties:
- formation energy from the elements (eV/atom) = 0.011
- total DFT energy (no corrections) (eV/cell) = -37.2


Record 8
Below is a relaxed AgPt2Pb2 crystal, with properties calculated at the PBE-GGA level.

a b c (Å): 7.9797 7.9797 3.4168
angles (deg): 90.00 90.00 90.00
Space group P4/mbm (No. 127)
Inequivalent atoms, fractional coordinates:
Ag1 0.0000 0.0000 0.0000 [2 per cell]
Pt1 0.1357 0.3643 0.5000 [4 per cell]
Pb1 0.1596 0.6596 0.0000 [4 per cell]

Computed properties:
- formation energy from the elements (eV/atom) = 0.124
- total DFT energy (no corrections) (eV/cell) = -43.5
- energy relative to the lowest polymorph listed for this composition (eV per atom) = 0.179


Record 9
Below is a relaxed AgPtPb crystal, with properties calculated at the PBE-GGA level.

a b c (Å): 4.8231 4.8231 3.0452
angles (deg): 90.00 90.00 120.00
Space group P3m1 (No. 156)
Inequivalent atoms, fractional coordinates:
Ag1 0.0000 0.0000 0.0000 [1 per cell]
Pt1 0.3333 0.6667 0.5101 [1 per cell]
Pb1 0.6667 0.3333 0.4914 [1 per cell]

Computed properties:
- formation energy from the elements (eV/atom) = 0.062
- total DFT energy (no corrections) (eV/cell) = -12.4
- energy relative to the lowest polymorph listed for this composition (eV per atom) = 0.095


Record 10
Below is a relaxed AgPt2Pb crystal, with properties calculated at the PBE-GGA level.

a b c (Å): 3.2131 4.4764 5.5701
angles (deg): 90.00 106.65 90.00
Space group Pm (No. 6)
Inequivalent atoms, fractional coordinates:
Ag1 0.0000 0.0000 0.0000 [1 per cell]
Pt1 0.2795 0.0000 0.5472 [1 per cell]
Pt2 0.4324 0.5000 0.8653 [1 per cell]
Pb1 0.6970 0.5000 0.3830 [1 per cell]

Computed properties:
- formation energy from the elements (eV/atom) = 0.035
- total DFT energy (no corrections) (eV/cell) = -18.5